(1)
The following is a DFT calculation (GGA-PBEsol) of a relaxed Ba2SiRu crystal.

CIF file:
```
data_Ba2SiRu
_space_group_name_H-M_alt 'C 1 m 1'
_space_group_IT_number 8
_space_group_name_Hall 'C -2y'
_cell_length_a 7.239
_cell_length_b 4.174
_cell_length_c 9.171
_cell_angle_alpha 90.00
_cell_angle_beta 104.59
_cell_angle_gamma 90.00
loop_
_atom_site_label
_atom_site_fract_x
_atom_site_fract_y
_atom_site_fract_z
Ba1 0.000 0.000 0.000
Ba2 0.162 0.000 0.509
Si1 0.414 0.000 0.254
Ru1 0.248 0.500 0.256
```

Output
- M_tot: 0.000 μB per atom

***

(2)
The following is a DFT calculation (GGA-PBEsol) of a relaxed InPO2 crystal.

CIF file:
```
data_InPO2
_space_group_name_H-M_alt 'R -3 m'
_space_group_IT_number 166
_space_group_name_Hall '-R 3 2"'
_cell_length_a 3.0469
_cell_length_b 3.0469
_cell_length_c 20.6206
_cell_angle_alpha 90.00
_cell_angle_beta 90.00
_cell_angle_gamma 120.00
loop_
_atom_site_label
_atom_site_fract_x
_atom_site_fract_y
_atom_site_fract_z
In1 0.0000 0.0000 0.0000
P1 0.0000 0.0000 0.5000
O1 0.0000 0.0000 0.1178
```

Output
- M_tot: 0.000 μB per atom

***

(3)
The following is a DFT calculation (GGA-PBEsol) of a relaxed TeRhN2F crystal.

CIF file:
```
data_TeRhN2F
_space_group_name_H-M_alt 'P 4/m m m'
_space_group_IT_number 123
_space_group_name_Hall '-P 4 2'
_cell_length_a 4.056
_cell_length_b 4.056
_cell_length_c 4.002
_cell_angle_alpha 90.00
_cell_angle_beta 90.00
_cell_angle_gamma 90.00
loop_
_atom_site_label
_atom_site_fract_x
_atom_site_fract_y
_atom_site_fract_z
Te1 0.000 0.000 0.000
Rh1 0.500 0.500 0.500
N1 0.000 0.500 0.000
F1 0.000 0.000 0.500
```

Output
- M_tot: 0.000 μB per atom

***

Quick rundown of raw formation energy, same order as above: -24; -60; 115 kJ per mole of atoms